Crystalline Y2MgCd4 at its relaxed geometry, computed with PBE-GGA. Values from VASP.

Cell and atoms, written as Quantum ESPRESSO input:
```
&SYSTEM
  ibrav = 0, nat = 7, ntyp = 3
/
ATOMIC_SPECIES
Y 88.91 Y.upf
Mg 24.30 Mg.upf
Cd 112.41 Cd.upf
CELL_PARAMETERS angstrom
4.832 0.000 1.510
2.180 4.312 1.510
-0.101 -0.062 8.812
ATOMIC_POSITIONS angstrom
Y 5.164 3.176 8.935
Y 1.747 1.074 2.896
Mg 0.000 0.000 0.000
Cd 6.079 3.739 6.005
Cd 0.832 0.511 5.826
Cd 4.347 2.674 3.061
Cd 2.564 1.577 8.771
```

Summary:
Size of the total moment: 0.00 μB/atom
Energy: -2.728 eV/atom
E_form: -0.13 eV per atom
DOS(E_F): 4.64 states/eV/f.u.

---

Crystalline Y5MgCd at its relaxed geometry, computed with PBE-GGA. Values from VASP.

Cell and atoms, written as Quantum ESPRESSO input:
```
&SYSTEM
  ibrav = 0, nat = 14, ntyp = 3
/
ATOMIC_SPECIES
Y 88.91 Y.upf
Mg 24.30 Mg.upf
Cd 112.41 Cd.upf
CELL_PARAMETERS angstrom
-3.992 -0.389 4.480
-4.120 -2.088 -3.850
6.630 -9.965 1.931
ATOMIC_POSITIONS angstrom
Y -1.324 -2.455 -1.351
Y -0.055 -5.604 -0.070
Y 2.046 -6.704 3.208
Y -2.339 -2.932 4.707
Y -4.779 -2.331 -0.665
Y 3.296 -10.111 3.226
Y 0.856 -9.510 -2.146
Y -3.529 -5.738 -0.647
Y -1.428 -6.838 2.631
Y -0.158 -9.988 3.912
Mg -2.387 -3.573 1.564
Mg 0.904 -8.869 0.997
Cd 0.000 0.000 0.000
Cd 3.315 -4.983 0.965
```

Summary:
Size of the total moment: 0.00 μB/atom
Energy: -4.921 eV/atom
E_form: 0.05 eV per atom
DOS(E_F): 10.00 states/eV/f.u.

---

Crystalline YMg2Cd9 at its relaxed geometry, computed with PBE-GGA. Values from VASP.

Cell and atoms, written as Quantum ESPRESSO input:
```
&SYSTEM
  ibrav = 0, nat = 24, ntyp = 3
/
ATOMIC_SPECIES
Y 88.91 Y.upf
Mg 24.30 Mg.upf
Cd 112.41 Cd.upf
CELL_PARAMETERS angstrom
-6.275 4.503 -0.362
-4.101 0.256 -8.279
-7.947 -4.276 1.999
ATOMIC_POSITIONS angstrom
Y -3.137 2.251 -0.181
Y -7.593 -0.884 -3.231
Mg -12.476 0.797 -0.888
Mg -10.553 3.063 -6.027
Mg -8.503 2.935 -1.887
Mg -11.389 -1.326 -4.846
Cd -10.730 1.367 -3.412
Cd 0.000 0.000 0.000
Cd -15.420 1.829 -6.615
Cd -6.624 1.324 -0.243
Cd -9.533 0.564 -0.555
Cd -9.374 0.338 -6.121
Cd -12.707 1.113 -5.916
Cd -5.033 -1.048 -0.694
Cd -6.848 -0.766 -6.995
Cd -7.754 -1.420 0.567
Cd -13.634 0.021 -3.440
Cd -4.107 0.044 -3.169
Cd -9.145 -3.472 -0.858
Cd -5.458 1.286 -5.570
Cd -16.346 0.738 -4.139
Cd -5.698 2.415 -2.719
Cd -7.983 2.390 -4.696
Cd -10.923 -1.488 -1.980
```

Summary:
Size of the total moment: 0.00 μB/atom
Energy: -1.581 eV/atom
E_form: -0.09 eV per atom
DOS(E_F): 3.58 states/eV/f.u.

---

Crystalline YMgCd4 at its relaxed geometry, computed with PBE-GGA. Values from VASP.

Cell and atoms, written as Quantum ESPRESSO input:
```
&SYSTEM
  ibrav = 0, nat = 6, ntyp = 3
/
ATOMIC_SPECIES
Cd 112.41 Cd.upf
Mg 24.30 Mg.upf
Y 88.91 Y.upf
CELL_PARAMETERS angstrom
-3.579 -2.926 3.588
1.021 -5.637 1.194
1.842 -1.575 5.326
ATOMIC_POSITIONS angstrom
Cd 1.347 -4.873 4.522
Cd -0.447 -6.339 6.321
Cd -0.959 -3.514 5.722
Cd -1.371 -5.550 3.651
Mg -0.179 -2.534 2.527
Y 0.000 0.000 0.000
```

Summary:
Size of the total moment: 0.00 μB/atom
Energy: -2.094 eV/atom
E_form: -0.14 eV per atom
DOS(E_F): 3.87 states/eV/f.u.
ΔE to the lowest computed polymorph: 0.094 eV per atom

---

Question: Look up the size of the total moment of the second one.
Answer: 0.00 μB/atom

---

Question: Number 3 is which compound?
Answer: YMg2Cd9

---

Question: Which of these has the highest E_form?
Answer: Y5MgCd

---

Question: What is the formula in the third record?
Answer: YMg2Cd9